The following is a DFT calculation (PBE) of a geometry-optimized La3In6Pd5 structure.

Results
ΔH_f (0 K): -0.693 eV per atom
DFT total energy: -4.777 eV per atom

a b c (Å): 4.5810 10.0235 13.8933
angles (deg): 90.00 90.00 90.00
Atoms (fractional coordinates):
Pd 0.0000 0.7895 0.0000
Pd 0.0000 0.8564 0.6576
Pd 0.5000 0.1436 0.1576
La 0.0000 0.2759 0.0000
In 0.0000 0.9848 0.8484
Pd 0.5000 0.2105 0.5000
Pd 0.0000 0.5464 0.1126
Pd 0.5000 0.4536 0.6126
In 0.5000 0.9676 0.0000
Pd 0.0000 0.5464 0.8874
In 0.0000 0.5840 0.6817
Pd 0.0000 0.8564 0.3424
Pd 0.5000 0.4536 0.3874
In 0.5000 0.0152 0.6516
In 0.0000 0.0324 0.5000
In 0.5000 0.4160 0.8183
La 0.0000 0.2441 0.3013
La 0.5000 0.7559 0.1987
La 0.0000 0.2441 0.6987
In 0.0000 0.5840 0.3183
In 0.0000 0.9848 0.1516
In 0.5000 0.5931 0.0000
La 0.5000 0.7559 0.8013
In 0.0000 0.4069 0.5000
Pd 0.5000 0.1436 0.8424
In 0.5000 0.4160 0.1817
La 0.5000 0.7241 0.5000
In 0.5000 0.0152 0.3484

---

The following is a DFT calculation (PBE) of a geometry-optimized NdDyEr structure.

Results
ΔH_f (0 K): 0.658 eV per atom
DFT total energy: -3.986 eV per atom

a b c (Å): 3.4376 8.2048 8.2048
angles (deg): 90.59 90.00 90.00
Atoms (fractional coordinates):
Er 0.5000 0.5000 0.5000
Dy 0.0000 0.7384 0.7384
Nd 0.5000 0.2397 0.7603
Dy 0.0000 0.2616 0.2616
Nd 0.5000 0.7603 0.2397
Er 0.0000 0.0000 0.0000

---

The following is a DFT calculation (PBE) of a geometry-optimized TmSc2Cr2C4 structure.

Results
ΔH_f (0 K): -0.239 eV per atom
DFT total energy: -8.381 eV per atom

a b c (Å): 3.1674 6.6063 5.6318
angles (deg): 111.74 90.00 103.87
Atoms (fractional coordinates):
C 0.2193 0.4387 0.2158
Tm 0.0000 0.0000 0.0000
Cr 0.6737 0.3474 0.9740
Sc 0.1496 0.2992 0.5413
C 0.5221 0.0442 0.6369
C 0.4779 0.9558 0.3631
C 0.7807 0.5613 0.7842
Sc 0.8504 0.7008 0.4587
Cr 0.3263 0.6526 0.0260